Crystalline GaBTeI2 at its relaxed geometry, computed with GGA-PBE.

Values from the calculation:
The electronic total energy comes out at -2.60 eV/atom. As for the energy relative to the elements, uncorrected: 285.8 kJ/mol of formula units. The value obtained for the density of states at the Fermi level is 4.23 states/eV/cell. The value obtained for the excess energy over the best structure of this formula in the dataset is 0 meV per atom. The calculation puts the calculated volume at 27.309 Å³ per atom.

Unit cell a=5.2303 b=5.2303 c=4.9915 alpha=90.00 beta=90.00 gamma=90.00
Atoms (fractional coordinates):
Ga1 0.0000 0.0000 0.0000
B1 0.5000 0.5000 0.5000
Te1 0.5000 0.5000 0.0000
I1 0.0000 0.5000 0.5000
I2 0.5000 0.0000 0.5000